[1]
This record from Alexandria describes a geometry-optimized La2Zn3PdPt12 structure. The functional is GGA-PBE.

The structure in POSCAR format:
```
La2Zn3PdPt12
1.0
4.0022 2.3106 6.6713
-4.0022 2.3106 6.6713
0.0000 -4.6213 6.6713
La Zn Pd Pt
2 3 1 12
Direct
0.1232 0.1232 0.1232
0.8768 0.8768 0.8768
0.0000 0.5000 0.5000
0.5000 0.0000 0.5000
0.5000 0.5000 0.0000
0.5000 0.5000 0.5000
0.1083 0.6328 0.6328
0.1208 0.1208 0.6310
0.1208 0.6310 0.1208
0.3672 0.3672 0.8917
0.3672 0.8917 0.3672
0.3690 0.8792 0.8792
0.6310 0.1208 0.1208
0.6328 0.1083 0.6328
0.6328 0.6328 0.1083
0.8792 0.3690 0.8792
0.8792 0.8792 0.3690
0.8917 0.3672 0.3672
```

Results
**Density**: 13.11 Mg/m³
**Calculated formation energy**: -0.20 eV per atom
**Size of the total moment**: 0.0000 μB/atom

---

[2]
This record from Alexandria describes a geometry-optimized LaZnPdPt structure. The functional is GGA-PBE.

The structure in POSCAR format:
```
LaZnPdPt
1.0
3.8335 -2.2162 0.0000
3.8335 2.2162 0.0000
-2.5681 0.0000 4.9153
La Zn Pd Pt
1 1 1 1
Direct
0.0000 0.0000 0.0000
0.5047 0.5047 0.5154
0.7896 0.7896 0.3701
0.2125 0.2125 0.6388
```

Results
**Density**: 10.06 Mg/m³
**Calculated formation energy**: -0.85 eV per atom
**Size of the total moment**: 0.0000 μB/atom